[1]
Computed, not measured: crystalline SnHg3Ge at its relaxed geometry at the PBE-GGA level of DFT.

a = 5.563 Å, b = 5.563 Å, c = 5.563 Å
α = 90.00°, β = 90.00°, γ = 90.00°
Fractional coordinates of all 5 atoms:
Sn  0.000  0.000  0.000
Hg  0.000  0.000  0.500
Hg  0.000  0.500  0.000
Hg  0.500  0.000  0.000
Ge  0.500  0.500  0.500

- excess energy over the best structure of this formula in the dataset (meV/atom) = 246.7
- volume (A^3/atom) = 34.4
- energy of formation from the pure elements (meV/atom) = 618.4

---

[2]
Computed, not measured: crystalline SnHg2Ge at its relaxed geometry at the PBE-GGA level of DFT.

a = 3.562 Å, b = 3.562 Å, c = 7.634 Å
α = 90.00°, β = 90.00°, γ = 90.00°
Fractional coordinates of all 4 atoms:
Sn  0.000  0.000  0.000
Hg  0.500  0.500  0.271
Hg  0.500  0.500  0.729
Ge  0.000  0.000  0.500

- volume (A^3/atom) = 24.2
- energy of formation from the pure elements (meV/atom) = 207.6

---

[3]
Computed, not measured: crystalline SrSnHgGe at its relaxed geometry at the PBE-GGA level of DFT.

a = 7.596 Å, b = 7.596 Å, c = 7.596 Å
α = 90.00°, β = 90.00°, γ = 90.00°
Fractional coordinates of all 16 atoms:
Sr  0.000  0.000  0.000
Sr  0.000  0.500  0.500
Sr  0.500  0.000  0.500
Sr  0.500  0.500  0.000
Sn  0.000  0.000  0.500
Sn  0.000  0.500  0.000
Sn  0.500  0.000  0.000
Sn  0.500  0.500  0.500
Hg  0.250  0.250  0.250
Hg  0.250  0.750  0.750
Hg  0.750  0.250  0.750
Hg  0.750  0.750  0.250
Ge  0.250  0.250  0.750
Ge  0.250  0.750  0.250
Ge  0.750  0.250  0.250
Ge  0.750  0.750  0.750

- volume (A^3/atom) = 27.4
- energy of formation from the pure elements (meV/atom) = -267.9